TaIn2Au2 PBE optimized geometry; SG = No. 139; total energy = -4.29 eV/atom
1.0
-2.042 2.042 6.263
2.042 -2.042 6.263
2.042 2.042 -6.263
Ta In Au
1 2 2
direct
0.000 0.000 0.000
0.250 0.750 0.500
0.750 0.250 0.500
0.398 0.398 0.000
0.602 0.602 0.000


NaLuRe PBE optimized geometry; SG = No. 216; energy relative to the lowest polymorph listed for this composition = 0.000 eV per formula unit; total energy = -4.72 eV/atom
1.0
0.000 3.368 3.368
3.368 0.000 3.368
3.368 3.368 0.000
Na Lu Re
1 1 1
direct
0.000 0.000 0.000
0.500 0.500 0.500
0.750 0.750 0.750


MgIrNO PBE optimized geometry; SG = No. 26; energy relative to the lowest polymorph listed for this composition = 1.265 eV per formula unit; total energy = -6.47 eV/atom
1.0
3.111 0.000 0.000
0.000 5.995 0.000
0.000 0.000 5.136
Mg Ir N O
2 2 2 2
direct
0.000 0.153 0.000
0.000 0.847 0.500
0.500 0.407 0.447
0.500 0.593 0.947
0.500 0.297 0.813
0.500 0.703 0.313
0.000 0.158 0.381
0.000 0.842 0.881


NaGeBPd PBE optimized geometry; SG = No. 216; energy relative to the lowest polymorph listed for this composition = 0.304 eV per formula unit; total energy = -3.84 eV/atom
1.0
0.000 3.092 3.092
3.092 0.000 3.092
3.092 3.092 0.000
Na Ge B Pd
1 1 1 1
direct
0.000 0.000 0.000
0.500 0.500 0.500
0.750 0.750 0.750
0.250 0.250 0.250


PrScAu PBE optimized geometry; SG = No. 129; energy relative to the lowest polymorph listed for this composition = 0.000 eV per formula unit; total energy = -5.40 eV/atom; energy of formation from the pure elements = -1.83 eV/f.u.
1.0
4.669 0.000 0.000
0.000 4.669 0.000
0.000 0.000 7.136
Pr Sc Au
2 2 2
direct
0.250 0.250 0.126
0.750 0.750 0.874
0.250 0.750 0.500
0.750 0.250 0.500
0.250 0.250 0.715
0.750 0.750 0.285


PdO3 PBE optimized geometry; SG = No. 5; total energy = -5.01 eV/atom
1.0
2.633 -4.703 0.000
2.633 4.703 0.000
-1.456 0.000 7.138
Pd O
4 12
direct
0.000 0.000 0.000
0.496 0.504 0.500
0.663 0.337 0.000
0.836 0.164 0.500
0.059 0.397 0.152
0.113 0.467 0.343
0.216 0.194 0.655
0.280 0.306 0.844
0.386 0.040 0.159
0.445 0.113 0.350
0.533 0.887 0.657
0.603 0.941 0.848
0.694 0.720 0.156
0.806 0.784 0.345
0.887 0.555 0.650
0.960 0.614 0.841


TmScFe PBE optimized geometry; SG = No. 216; energy relative to the lowest polymorph listed for this composition = 0.000 eV per formula unit; total energy = -6.22 eV/atom; energy of formation from the pure elements = 0.46 eV/f.u.
1.0
0.000 3.172 3.172
3.172 0.000 3.172
3.172 3.172 0.000
Tm Sc Fe
1 1 1
direct
0.000 0.000 0.000
0.500 0.500 0.500
0.750 0.750 0.750


Cu3Se2S6Cl2 PBE optimized geometry; SG = No. 12; total energy = -3.59 eV/atom
1.0
5.155 -3.681 0.000
5.155 3.681 0.000
-3.013 0.000 7.777
Cu Se S Cl
3 2 6 2
direct
0.000 0.000 0.000
0.499 0.499 0.306
0.501 0.501 0.694
0.148 0.148 0.690
0.852 0.852 0.310
0.153 0.752 0.184
0.248 0.847 0.816
0.372 0.372 0.858
0.628 0.628 0.142
0.752 0.153 0.184
0.847 0.248 0.816
0.321 0.321 0.400
0.679 0.679 0.600


LuScNiBi PBE optimized geometry; SG = No. 216; energy relative to the lowest polymorph listed for this composition = 0.000 eV per formula unit; total energy = -5.10 eV/atom
1.0
0.000 3.509 3.509
3.509 0.000 3.509
3.509 3.509 0.000
Lu Sc Ni Bi
1 1 1 1
direct
0.000 0.000 0.000
0.250 0.250 0.250
0.750 0.750 0.750
0.500 0.500 0.500


Sc4CdFeN2 PBE optimized geometry; SG = No. 187; total energy = -7.28 eV/atom
1.0
3.195 0.000 0.000
-1.597 2.767 0.000
0.000 0.000 14.202
Sc Cd Fe N
4 1 1 2
direct
0.000 0.000 0.138
0.000 0.000 0.862
0.333 0.667 0.315
0.333 0.667 0.685
0.000 0.000 0.500
0.333 0.667 0.000
0.667 0.333 0.235
0.667 0.333 0.765


TlAuSe2 PBE optimized geometry; SG = No. 5; total energy = -3.30 eV/atom
1.0
7.464 -2.982 0.000
7.464 2.982 0.000
-2.356 0.000 5.469
Tl Au Se
2 2 4
direct
0.250 0.250 0.250
0.750 0.750 0.750
0.105 0.105 0.606
0.895 0.895 0.394
0.165 0.589 0.088
0.411 0.835 0.912
0.589 0.165 0.664
0.835 0.411 0.336


LiAlCuRe PBE optimized geometry; SG = No. 216; energy relative to the lowest polymorph listed for this composition = 0.000 eV per formula unit; total energy = -5.20 eV/atom
1.0
0.000 2.966 2.966
2.966 0.000 2.966
2.966 2.966 0.000
Li Al Cu Re
1 1 1 1
direct
0.000 0.000 0.000
0.500 0.500 0.500
0.750 0.750 0.750
0.250 0.250 0.250